1.
A plane-wave DFT calculation with PBE was carried out for crystalline Nd3GeS at its relaxed geometry.

Output
formation energy from raw total energies = -0.999 eV/atom
space-group type = No. 11

a = 7.4354 Å, b = 4.1828 Å, c = 10.1098 Å
α = 90.00°, β = 108.67°, γ = 90.00°
With the nearest neighbours (Å) after each atom.
Atoms (fractional coordinates):
Nd 0.1879 0.2500 0.1153  1 S 2.82
Nd 0.2402 0.2500 0.4940  3 S 2.84-2.88, 2 Ge 3.15
Nd 0.2893 0.7500 0.8376  1 S 2.76, 2 Ge 2.97
Nd 0.7107 0.2500 0.1624  1 S 2.76, 2 Ge 2.97
Nd 0.7598 0.7500 0.5060  3 S 2.84-2.88, 2 Ge 3.15
Nd 0.8121 0.7500 0.8847  1 S 2.82
Ge 0.0029 0.7500 0.2746  6 Nd 2.97-3.21
Ge 0.9971 0.2500 0.7254  6 Nd 2.97-3.21
S 0.4845 0.7500 0.6470  5 Nd 2.76-2.88
S 0.5155 0.2500 0.3530  5 Nd 2.76-2.88


2.
A plane-wave DFT calculation with PBE was carried out for crystalline Tm6GeBi2Te3 at its relaxed geometry.

Output
formation energy from raw total energies = -1.067 eV/atom
space-group type = No. 12

a = 7.5094 Å, b = 7.5094 Å, c = 7.4624 Å
α = 99.64°, β = 99.64°, γ = 119.95°
With the nearest neighbours (Å) after each atom.
Atoms (fractional coordinates):
Tm 0.0762 0.3872 0.7314  1 Ge 2.84, 2 Bi 3.06-3.07, 2 Te 3.07-3.08
Tm 0.2297 0.2297 0.2618  1 Ge 2.86, 2 Bi 3.08, 2 Te 3.11
Tm 0.3872 0.0762 0.7314  1 Ge 2.84, 2 Bi 3.06-3.07, 2 Te 3.07-3.08
Tm 0.6128 0.9238 0.2686  1 Ge 2.84, 2 Bi 3.06-3.07, 2 Te 3.07-3.08
Tm 0.7703 0.7703 0.7382  1 Ge 2.86, 2 Bi 3.08, 2 Te 3.11
Tm 0.9238 0.6128 0.2686  1 Ge 2.84, 2 Bi 3.06-3.07, 2 Te 3.07-3.08
Ge 0.0000 0.0000 0.5000  6 Tm 2.84-2.86
Bi 0.3351 0.6649 0.5000  6 Tm 3.06-3.08
Bi 0.6649 0.3351 0.5000  6 Tm 3.06-3.08
Te 0.1740 0.8260 0.0000  6 Tm 3.07-3.21
Te 0.5000 0.5000 0.0000  6 Tm 3.08-3.26
Te 0.8260 0.1740 0.0000  6 Tm 3.07-3.21


3.
A plane-wave DFT calculation with PBE was carried out for crystalline Ti2Ga4Pd at its relaxed geometry.

Output
space-group type = No. 12
energy above the most stable polymorph in this dataset = 0.056 eV/atom
DFT formation energy = -295 meV per atom

a = 7.2793 Å, b = 7.2793 Å, c = 6.0988 Å
α = 114.01°, β = 114.01°, γ = 23.57°
With the nearest neighbours (Å) after each atom.
Atoms (fractional coordinates):
Ti 0.2302 0.2302 0.1798  6 Ga 2.71-2.79, 4 Ti 2.89-2.97, 1 Pd 3.00
Ti 0.7698 0.7698 0.8202  6 Ga 2.71-2.79, 4 Ti 2.89-2.97, 1 Pd 3.00
Ga 0.0909 0.0909 0.7139  1 Pd 2.57, 3 Ti 2.71-2.79, 3 Ga 2.73-2.81
Ga 0.3863 0.3863 0.6360  2 Pd 2.60, 2 Ga 2.73, 3 Ti 2.75-2.79
Ga 0.6137 0.6137 0.3640  2 Pd 2.60, 2 Ga 2.73, 3 Ti 2.75-2.79
Ga 0.9091 0.9091 0.2861  1 Pd 2.57, 3 Ti 2.71-2.79, 3 Ga 2.73-2.81
Pd 0.0000 0.0000 0.0000  6 Ga 2.57-2.60


4.
A plane-wave DFT calculation with PBE was carried out for crystalline Mg2ScCdAu at its relaxed geometry.

Output
space-group type = No. 123
DFT formation energy = -65 meV per atom

a = 5.0681 Å, b = 5.0681 Å, c = 5.2132 Å
α = 90.00°, β = 90.00°, γ = 90.00°
With the nearest neighbours (Å) after each atom.
Atoms (fractional coordinates):
Mg 0.0000 0.5000 0.0000  2 Au 2.53
Mg 0.5000 0.0000 0.0000  2 Au 2.53
Sc 0.0000 0.0000 0.5000  2 Au 2.61
Cd 0.5000 0.5000 0.5000  4 Sc 3.58, 8 Mg 3.64
Au 0.0000 0.0000 0.0000  4 Mg 2.53, 2 Sc 2.61


5.
A plane-wave DFT calculation with PBE was carried out for crystalline Na2InAuCl6 at its relaxed geometry.

Output
formation energy from raw total energies = -1.183 eV/atom
space-group type = No. 1

a = 6.9398 Å, b = 7.1399 Å, c = 7.4924 Å
α = 62.71°, β = 65.32°, γ = 61.04°
With the nearest neighbours (Å) after each atom.
Atoms (fractional coordinates):
Na 0.0000 0.0000 0.0000  6 Cl 2.80-3.06
Na 0.4407 0.4765 0.5843  5 Cl 2.81-3.01
In 0.6574 0.6766 0.9620  5 Cl 2.48-2.76
Au 0.2306 0.1156 0.2449  2 Cl 2.30-2.31
Cl 0.0225 0.7424 0.7911  1 In 2.48
Cl 0.3109 0.5950 0.2188  1 In 2.51
Cl 0.4220 0.0395 0.7482  1 In 2.50
Cl 0.6058 0.8760 0.2336  1 Au 2.31
Cl 0.7515 0.4264 0.7669  1 In 2.49
Cl 0.8473 0.2960 0.2631  1 Au 2.30


6.
A plane-wave DFT calculation with PBE was carried out for crystalline Li2BiPd8 at its relaxed geometry.

Output
space-group type = No. 12
energy above the most stable polymorph in this dataset = 0.000 eV/atom
DFT formation energy = -254 meV per atom

a = 7.3504 Å, b = 7.3504 Å, c = 6.1883 Å
α = 104.87°, β = 104.87°, γ = 32.49°
With the nearest neighbours (Å) after each atom.
Atoms (fractional coordinates):
Li 0.2253 0.2253 0.1459  10 Pd 2.64-2.83, 2 Li 2.94
Li 0.7747 0.7747 0.8541  10 Pd 2.64-2.83, 2 Li 2.94
Bi 0.5000 0.5000 0.5000  12 Pd 2.77-2.96
Pd 0.0480 0.0480 0.2244  1 Li 2.67, 9 Pd 2.75-2.94, 2 Bi 2.87
Pd 0.1470 0.1470 0.7069  3 Li 2.65-2.73, 7 Pd 2.70-2.94, 2 Bi 2.96
Pd 0.3157 0.3157 0.5789  3 Li 2.64-2.83, 8 Pd 2.70-2.86, 1 Bi 2.77
Pd 0.4031 0.4031 0.0336  8 Pd 2.75-2.92, 3 Li 2.77-2.78, 1 Bi 2.84
Pd 0.5969 0.5969 0.9664  8 Pd 2.75-2.92, 3 Li 2.77-2.78, 1 Bi 2.84
Pd 0.6843 0.6843 0.4211  3 Li 2.64-2.83, 8 Pd 2.70-2.86, 1 Bi 2.77
Pd 0.8530 0.8530 0.2931  3 Li 2.65-2.73, 7 Pd 2.70-2.94, 2 Bi 2.96
Pd 0.9520 0.9520 0.7756  1 Li 2.67, 9 Pd 2.75-2.94, 2 Bi 2.87


7.
A plane-wave DFT calculation with PBE was carried out for crystalline YNbCr at its relaxed geometry.

Output
space-group type = No. 44
energy above the most stable polymorph in this dataset = 0.032 eV/atom
DFT formation energy = 292 meV per atom

a = 5.4776 Å, b = 5.4776 Å, c = 5.4776 Å
α = 118.43°, β = 116.73°, γ = 94.26°
With the nearest neighbours (Å) after each atom.
Atoms (fractional coordinates):
Y 0.0000 0.0000 0.0000  2 Cr 2.94, 6 Nb 3.08-3.29
Y 0.7335 0.2335 0.5000  6 Cr 3.22-3.23, 6 Nb 3.26-3.32, 4 Y 3.36-3.44
Nb 0.3776 0.6382 0.7394  4 Cr 2.75-2.78, 2 Nb 2.75-3.00
Nb 0.8989 0.6382 0.2606  4 Cr 2.75-2.78, 2 Nb 2.75-3.00
Cr 0.3665 0.1710 0.8045  1 Cr 2.19
Cr 0.3665 0.5620 0.1955  1 Cr 2.19


8.
A plane-wave DFT calculation with PBE was carried out for crystalline Ca3InFe at its relaxed geometry.

Output
space-group type = No. 221
energy above the most stable polymorph in this dataset = 0.000 eV/atom
DFT formation energy = 275 meV per atom

a = 5.4021 Å, b = 5.4021 Å, c = 5.4021 Å
α = 90.00°, β = 90.00°, γ = 90.00°
With the nearest neighbours (Å) after each atom.
Atoms (fractional coordinates):
Ca 0.0000 0.0000 0.5000  2 Fe 2.70
Ca 0.0000 0.5000 0.0000  2 Fe 2.70
Ca 0.5000 0.0000 0.0000  2 Fe 2.70
In 0.5000 0.5000 0.5000  12 Ca 3.82
Fe 0.0000 0.0000 0.0000  6 Ca 2.70


9.
A plane-wave DFT calculation with PBE was carried out for crystalline MnOsPb2 at its relaxed geometry.

Output
space-group type = No. 123
energy above the most stable polymorph in this dataset = 0.425 eV/atom
DFT formation energy = 802 meV per atom

a = 3.3569 Å, b = 3.3569 Å, c = 7.1654 Å
α = 90.00°, β = 90.00°, γ = 90.00°
With the nearest neighbours (Å) after each atom.
Atoms (fractional coordinates):
Mn 0.0000 0.0000 0.0000  8 Pb 3.03, 4 Mn 3.36
Os 0.0000 0.0000 0.5000  8 Pb 2.92
Pb 0.5000 0.5000 0.2625  4 Os 2.92, 4 Mn 3.03
Pb 0.5000 0.5000 0.7375  4 Os 2.92, 4 Mn 3.03


10.
A plane-wave DFT calculation with PBE was carried out for crystalline Sc6Bi2H at its relaxed geometry.

Output
space-group type = No. 139
energy above the most stable polymorph in this dataset = 0.000 eV/atom

a = 6.4427 Å, b = 6.4427 Å, c = 6.4427 Å
α = 119.90°, β = 119.90°, γ = 90.17°
With the nearest neighbours (Å) after each atom.
Atoms (fractional coordinates):
Sc 0.2490 0.2490 0.0000  1 H 2.26
Sc 0.2492 0.2492 0.4984  1 H 2.27
Sc 0.2492 0.7508 0.0000  1 H 2.27
Sc 0.7508 0.2492 0.0000  1 H 2.27
Sc 0.7510 0.7510 0.0000  1 H 2.26
Sc 0.7508 0.7508 0.5016  1 H 2.27
Bi 0.2500 0.7500 0.5000  12 Sc 3.22-3.23
Bi 0.7500 0.2500 0.5000  12 Sc 3.22-3.23
H 0.0000 0.0000 0.0000  6 Sc 2.26-2.27


11.
A plane-wave DFT calculation with PBE was carried out for crystalline Mg7Tl3Hg2 at its relaxed geometry.

Output
space-group type = No. 65
DFT formation energy = 12 meV per atom

a = 16.0182 Å, b = 16.0182 Å, c = 4.1593 Å
α = 90.00°, β = 90.00°, γ = 163.29°
With the nearest neighbours (Å) after each atom.
Atoms (fractional coordinates):
Mg 0.0000 0.0000 0.0000  8 Mg 3.10-3.39, 4 Tl 3.12
Mg 0.0726 0.9274 0.5000  2 Hg 2.85, 6 Mg 3.10-3.13
Mg 0.2211 0.7789 0.0000  1 Hg 2.76, 2 Mg 2.96
Mg 0.4221 0.5779 0.0000  2 Hg 2.93, 4 Mg 3.13, 2 Tl 3.23
Mg 0.5779 0.4221 0.0000  2 Hg 2.93, 4 Mg 3.13, 2 Tl 3.23
Mg 0.7789 0.2211 0.0000  1 Hg 2.76, 2 Mg 2.96
Mg 0.9274 0.0726 0.5000  2 Hg 2.85, 6 Mg 3.10-3.13
Tl 0.3149 0.6851 0.5000  6 Mg 3.32-3.63, 4 Hg 3.52
Tl 0.5000 0.5000 0.5000  12 Mg 3.12-3.27
Tl 0.6851 0.3149 0.5000  6 Mg 3.32-3.63, 4 Hg 3.52
Hg 0.1340 0.8660 0.0000  5 Mg 2.76-2.93
Hg 0.8660 0.1340 0.0000  5 Mg 2.76-2.93


12.
A plane-wave DFT calculation with PBE was carried out for crystalline TbDyGa2Pd5 at its relaxed geometry.

Output
space-group type = No. 123
DFT formation energy = -824 meV per atom

a = 4.2044 Å, b = 4.2044 Å, c = 9.2544 Å
α = 90.00°, β = 90.00°, γ = 90.00°
With the nearest neighbours (Å) after each atom.
Atoms (fractional coordinates):
Tb 0.0000 0.0000 0.0000  12 Pd 2.94-2.97
Dy 0.0000 0.0000 0.5000  8 Ga 3.22, 8 Pd 3.32
Ga 0.5000 0.5000 0.3661  1 Ga 2.48, 4 Pd 2.49
Ga 0.5000 0.5000 0.6339  1 Ga 2.48, 4 Pd 2.49
Pd 0.0000 0.5000 0.2226  2 Ga 2.49
Pd 0.0000 0.5000 0.7774  2 Ga 2.49
Pd 0.5000 0.0000 0.2226  2 Ga 2.49
Pd 0.5000 0.0000 0.7774  2 Ga 2.49
Pd 0.5000 0.5000 0.0000  8 Pd 2.94, 4 Tb 2.97